Record 1
This record from Alexandria via LeMat-Bulk describes crystalline KLaIn2Rh at its relaxed geometry. The functional is PBE.

Cell: 5.4111 5.4111 5.2559 Å, 90.00 90.00 90.00°
With the nearest neighbours (Å) after each atom.
Sites, in units of the cell vectors:
La1 0.0000 0.0000 0.5000  2 Rh 2.63
K1 0.5000 0.5000 0.5000  8 In 3.77, 4 La 3.83
In1 0.0000 0.5000 0.0000  2 Rh 2.71
In2 0.5000 0.0000 0.0000  2 Rh 2.71
Rh1 0.0000 0.0000 0.0000  2 La 2.63, 4 In 2.71

Output
- Symmetry: P4/mmm (123)
- Energy relative to the elements: -0.362 eV per atom

=====

Record 2
This record from Alexandria via LeMat-Bulk describes crystalline KLaIn2Ru at its relaxed geometry. The functional is PBE.

Cell: 5.4126 5.4126 5.2212 Å, 90.00 90.00 90.00°
With the nearest neighbours (Å) after each atom.
Sites, in units of the cell vectors:
In1 0.5000 0.0000 0.0000  2 Ru 2.71
In2 0.0000 0.5000 0.0000  2 Ru 2.71
Ru1 0.0000 0.0000 0.0000  2 La 2.61, 4 In 2.71
K1 0.5000 0.5000 0.5000  8 In 3.76, 4 La 3.83
La1 0.0000 0.0000 0.5000  2 Ru 2.61

Output
- Symmetry: P4/mmm (123)
- Energy relative to the elements: -0.220 eV per atom

=====

Record 3
This record from Alexandria via LeMat-Bulk describes crystalline K2LaInS4 at its relaxed geometry. The functional is PBE.

Cell: 8.4841 8.4841 8.6737 Å, 120.74 120.74 90.63°
With the nearest neighbours (Å) after each atom.
Sites, in units of the cell vectors:
La1 0.0000 0.5000 0.0000  6 S 2.88-2.96
La2 0.0000 0.5000 0.5000  6 S 2.88-2.96
S1 0.7545 0.2858 0.5202  1 In 2.83, 2 La 2.88, 2 K 3.10
S2 0.7565 0.7429 0.5426  2 In 2.72-2.73, 1 La 2.96
S3 0.2434 0.2571 0.4574  2 In 2.72-2.73, 1 La 2.96
S4 0.2143 0.7455 0.9798  1 In 2.83, 2 La 2.88, 2 K 3.10
S5 0.7857 0.2545 0.0202  1 In 2.83, 2 La 2.88, 2 K 3.10
S6 0.2455 0.7143 0.4798  1 In 2.83, 2 La 2.88, 2 K 3.10
S7 0.7571 0.7435 0.9574  2 In 2.72-2.73, 1 La 2.96
S8 0.2429 0.2565 0.0426  2 In 2.72-2.73, 1 La 2.96
In1 0.5000 0.5000 0.5000  6 S 2.72-2.83
In2 0.0000 0.0000 0.0000  6 S 2.72-2.83
K1 0.5000 0.0000 0.0000  6 S 3.10-3.12
K2 0.5000 0.0000 0.5000  6 S 3.10-3.12
K3 0.0000 0.0000 0.5000  6 S 3.21-3.27
K4 0.5000 0.5000 0.0000  6 S 3.21-3.27

Output
- Energy: -4.63 eV per atom
- Symmetry: Imma (74)

=====

Record 4
This record from Alexandria via LeMat-Bulk describes crystalline K2LaInSe4 at its relaxed geometry. The functional is PBE.

Cell: 8.8455 8.8455 9.0118 Å, 120.62 120.62 90.75°
With the nearest neighbours (Å) after each atom.
Sites, in units of the cell vectors:
K1 0.5000 0.0000 0.5000  6 Se 3.22-3.25
K2 0.5000 0.0000 0.0000  6 Se 3.22-3.25
K3 0.5000 0.5000 0.0000  6 Se 3.33-3.38
K4 0.0000 0.0000 0.5000  6 Se 3.33-3.38
Se1 0.7565 0.7437 0.9594  2 In 2.85, 1 La 3.09
Se2 0.2177 0.7457 0.9817  1 In 2.98, 2 La 3.01, 3 K 3.22-3.33
Se3 0.7824 0.2543 0.0183  1 In 2.98, 2 La 3.01, 3 K 3.22-3.33
Se4 0.7543 0.2823 0.5183  1 In 2.98, 2 La 3.01, 3 K 3.22-3.33
Se5 0.2435 0.2563 0.0406  2 In 2.85, 1 La 3.09
Se6 0.2457 0.7176 0.4817  1 In 2.98, 2 La 3.01, 3 K 3.22-3.33
Se7 0.7563 0.7435 0.5406  2 In 2.85, 1 La 3.09
Se8 0.2437 0.2565 0.4594  2 In 2.85, 1 La 3.09
In1 0.0000 0.0000 0.0000  6 Se 2.85-2.98
In2 0.5000 0.5000 0.5000  6 Se 2.85-2.98
La1 0.0000 0.5000 0.5000  6 Se 3.01-3.09
La2 0.0000 0.5000 0.0000  6 Se 3.01-3.09

Output
- Energy: -4.25 eV per atom
- Symmetry: Imma (74)

=====

Record 5
This record from Alexandria via LeMat-Bulk describes crystalline K3La3InTe8 at its relaxed geometry. The functional is PBE.

Cell: 9.1869 9.1986 9.9926 Å, 117.46 90.00 119.96°
With the nearest neighbours (Å) after each atom.
Sites, in units of the cell vectors:
K1 0.5000 0.5000 0.0000  6 Te 3.57-3.58
K2 0.0000 0.5000 0.0000  6 Te 3.57-3.58
K3 0.0000 0.0000 0.0000  6 Te 3.57-3.58
Te1 0.2280 0.9800 0.7081  1 In 3.08, 2 La 3.24
Te2 0.2277 0.4554 0.7079  1 In 3.08, 2 La 3.24
Te3 0.2481 0.0200 0.2918  1 In 3.08, 2 La 3.24
Te4 0.7392 0.4783 0.7175  3 La 3.23, 3 K 3.57
Te5 0.7519 0.9800 0.7082  1 In 3.08, 2 La 3.24
Te6 0.2608 0.5217 0.2825  3 La 3.23, 3 K 3.57
Te7 0.7723 0.5446 0.2921  1 In 3.08, 2 La 3.24
Te8 0.7720 0.0200 0.2919  1 In 3.08, 2 La 3.24
La1 0.0000 0.5000 0.5000  6 Te 3.23-3.24
La2 0.5000 0.5000 0.5000  6 Te 3.23-3.24
La3 0.5000 0.0000 0.5000  6 Te 3.23-3.24
In1 0.0000 0.0000 0.5000  6 Te 3.08

Output
- Energy: -4.21 eV per atom
- Symmetry: C2/m (12)

=====

Record 6
This record from Alexandria via LeMat-Bulk describes crystalline K4La3InTe8 at its relaxed geometry. The functional is PBE.

Cell: 9.3006 9.8530 9.3026 Å, 118.18 119.99 90.00°
With the nearest neighbours (Å) after each atom.
Sites, in units of the cell vectors:
K1 0.5000 0.0000 0.0000  6 Te 3.67-3.68
K2 0.0000 0.0000 0.0000  6 Te 3.55-3.56
K3 0.5000 0.0000 0.5000  6 Te 3.55-3.56
K4 0.0000 0.0000 0.5000  6 Te 3.55-3.56
La1 0.5000 0.5000 0.5000  6 Te 3.23-3.25
La2 0.0000 0.5000 0.5000  6 Te 3.23-3.25
La3 0.5000 0.5000 0.0000  6 Te 3.23-3.25
Te1 0.2609 0.2826 0.5218  3 La 3.23, 3 K 3.56
Te2 0.7698 0.2886 0.0188  1 In 3.11, 2 La 3.25
Te3 0.7510 0.7114 0.9812  1 In 3.11, 2 La 3.25
Te4 0.7694 0.2883 0.5388  1 In 3.12, 2 La 3.25
Te5 0.2306 0.7117 0.4612  1 In 3.12, 2 La 3.25
Te6 0.2302 0.7114 0.9812  1 In 3.11, 2 La 3.25
Te7 0.7391 0.7174 0.4782  3 La 3.23, 3 K 3.56
Te8 0.2490 0.2886 0.0188  1 In 3.11, 2 La 3.25
In1 0.0000 0.5000 0.0000  6 Te 3.11-3.12

Output
- Energy: -4.19 eV per atom
- Symmetry: R-3m (166)

=====

Record 7
This record from Alexandria via LeMat-Bulk describes crystalline KLaTiIn2 at its relaxed geometry. The functional is PBE.

Cell: 5.5618 5.2424 5.5618 Å, 90.00 90.00 90.00°
With the nearest neighbours (Å) after each atom.
Sites, in units of the cell vectors:
K1 0.5000 0.5000 0.5000  8 In 3.82, 4 La 3.93
Ti1 0.0000 0.0000 0.0000  2 La 2.62, 4 In 2.78
In1 0.5000 0.0000 0.0000  2 Ti 2.78
In2 0.0000 0.0000 0.5000  2 Ti 2.78
La1 0.0000 0.5000 0.0000  2 Ti 2.62

Output
- Symmetry: P4/mmm (123)
- Energy relative to the elements: 0.114 eV per atom

=====

Record 8
This record from Alexandria via LeMat-Bulk describes crystalline K2LaTiIn at its relaxed geometry. The functional is PBE.

Cell: 6.7851 5.9058 6.7851 Å, 90.00 90.00 90.00°
With the nearest neighbours (Å) after each atom.
Sites, in units of the cell vectors:
K1 0.0000 0.0000 0.5000  2 La 3.39
K2 0.5000 0.0000 0.0000  2 La 3.39
In1 0.0000 0.5000 0.0000  2 La 2.95
Ti1 0.5000 0.5000 0.5000  8 K 4.50, 4 In 4.80
La1 0.0000 0.0000 0.0000  2 In 2.95

Output
- Symmetry: P4/mmm (123)
- Energy relative to the elements: 1.371 eV per atom

=====

no.,spin magnetization (μB per atom)
1,0.00
2,0.00
3,0.00
4,0.00
5,0.00
6,0.00
7,0.00
8,0.61